1.
# Ba3Nd2HoSe6

Ba3Nd2HoSe6 after structural relaxation (PBE, Alexandria).

Geometry as POSCAR:
```
Ba3Nd2HoSe6
1.0
3.778 -6.535 0.000
3.778 6.535 0.000
-2.521 0.000 7.405
Ba Nd Ho Se
3 2 1 6
Direct
0.000 0.000 0.000
0.330 0.670 0.000
0.670 0.330 0.000
0.166 0.834 0.500
0.834 0.166 0.500
0.500 0.500 0.500
0.104 0.428 0.283
0.250 0.250 0.720
0.428 0.104 0.283
0.572 0.896 0.717
0.750 0.750 0.280
0.896 0.572 0.717
```

Calculated volume   366 Å³ per cell
Energy   -5.30 eV per atom
SG   No. 12

=====

2.
# AcTbPdRu

AcTbPdRu after structural relaxation (PBE, Alexandria).

Geometry as POSCAR:
```
AcTbPdRu
1.0
0.000 3.606 3.606
3.606 0.000 3.606
3.606 3.606 0.000
Ac Tb Pd Ru
1 1 1 1
Direct
0.000 0.000 0.000
0.500 0.500 0.500
0.250 0.250 0.250
0.750 0.750 0.750
```

Formation enthalpy at 0 K   -40 kJ per mole of atoms
Calculated volume   94 Å³ per cell
Energy   -6.22 eV per atom
SG   No. 216

=====

3.
# AcSm2Y6Ho3

AcSm2Y6Ho3 after structural relaxation (PBE, Alexandria).

Geometry as POSCAR:
```
AcSm2Y6Ho3
1.0
3.126 -5.411 0.000
3.126 5.411 0.000
-2.079 0.000 11.717
Ac Sm Y Ho
1 2 6 3
Direct
0.000 0.000 0.000
0.333 0.667 0.000
0.667 0.333 0.000
0.086 0.422 0.256
0.250 0.250 0.744
0.422 0.086 0.256
0.578 0.914 0.744
0.750 0.750 0.256
0.914 0.578 0.744
0.167 0.833 0.500
0.500 0.500 0.500
0.833 0.167 0.500
```

Formation enthalpy at 0 K   3 kJ per mole of atoms
Calculated volume   396 Å³ per cell
Energy   -5.47 eV per atom
SG   No. 12

=====

4.
# Tm2Si4OsPt3

Tm2Si4OsPt3 after structural relaxation (PBE, Alexandria).

Geometry as POSCAR:
```
Tm2Si4OsPt3
1.0
4.112 0.000 0.000
0.000 4.112 0.000
0.000 0.000 9.993
Tm Si Os Pt
2 4 1 3
Direct
0.000 0.500 0.249
0.500 0.000 0.751
0.000 0.000 0.000
0.000 0.500 0.631
0.500 0.000 0.369
0.500 0.500 0.000
0.000 0.000 0.500
0.000 0.500 0.870
0.500 0.000 0.130
0.500 0.500 0.500
```

Calculated volume   169 Å³ per cell
Energy   -7.01 eV per atom
SG   No. 115

=====

5.
# Tl3SbPb

Tl3SbPb after structural relaxation (PBE, Alexandria).

Geometry as POSCAR:
```
Tl3SbPb
1.0
4.493 0.000 0.000
2.213 5.989 0.000
0.013 0.189 11.685
Tl Sb Pb
6 2 2
Direct
0.139 0.221 0.044
0.241 0.013 0.760
0.346 0.811 0.442
0.654 0.189 0.558
0.759 0.987 0.240
0.861 0.779 0.956
0.463 0.575 0.172
0.537 0.425 0.828
0.046 0.407 0.346
0.954 0.593 0.654
```

ΔE to the lowest computed polymorph   0.00 eV/f.u.
Calculated volume   314 Å³ per cell
Energy   -2.99 eV per atom
SG   No. 2

=====

6.
# NaUTl2O6

NaUTl2O6 after structural relaxation (PBE, Alexandria).

Geometry as POSCAR:
```
NaUTl2O6
1.0
5.452 -5.190 0.000
5.452 5.190 0.000
-0.869 0.000 5.995
Na U Tl O
2 2 4 12
Direct
0.082 0.918 0.750
0.918 0.082 0.250
0.259 0.741 0.250
0.741 0.259 0.750
0.216 0.410 0.698
0.410 0.216 0.198
0.590 0.784 0.802
0.784 0.590 0.302
0.002 0.781 0.362
0.160 0.649 0.941
0.219 0.998 0.138
0.283 0.470 0.360
0.351 0.840 0.559
0.470 0.283 0.860
0.530 0.717 0.140
0.649 0.160 0.441
0.717 0.530 0.640
0.781 0.002 0.862
0.840 0.351 0.059
0.998 0.219 0.638
```

Calculated volume   339 Å³ per cell
Energy   -6.46 eV per atom
SG   No. 15